! CsRbSbTe2 | the Alexandria database | PBE | optimized geometry; values from VASP
! - SG = No. 67
! - total DFT energy (no corrections) (eV per cell) = -29.676
! - energy relative to the elements, uncorrected (eV per atom) = -0.522
! - relative energy among the computed polymorphs (meV/atom) = 0.0
! - total moment (μB/cell) = 0.00
! - D(E_F) (states/eV/f.u.) = 0.86
&SYSTEM
  ibrav = 0, nat = 10, ntyp = 4
/
ATOMIC_SPECIES
Cs 132.91 Cs.upf
Rb 85.47 Rb.upf
Sb 121.76 Sb.upf
Te 127.60 Te.upf
CELL_PARAMETERS angstrom
3.668 -7.892 0.000
3.668 7.892 0.000
0.000 0.000 7.364
ATOMIC_POSITIONS crystal
Cs 0.250 0.750 0.750
Cs 0.750 0.250 0.250
Rb 0.250 0.250 0.000
Rb 0.750 0.750 0.000
Sb 0.000 0.000 0.500
Sb 0.500 0.500 0.500
Te 0.156 0.844 0.266
Te 0.344 0.656 0.266
Te 0.656 0.344 0.734
Te 0.844 0.156 0.734